1.
Material: V6GeH3
Method: DFT, PBE-GGA
State: optimized geometry

## Properties
* mass density: 6.1 g/cm³
* energy: -141.16 eV/cell
* size of the total moment: 0.0 μB per cell
* crystal system: monoclinic
* space-group type: P2_1/m (11)

Cell: 8.7034 2.9734 9.0186 Å, 90.00 117.90 90.00°
Positions (direct):
1 V 0.0024 0.2500 0.3419
2 V 0.1131 0.2500 0.1519
3 V 0.1943 0.2500 0.9421
4 V 0.3412 0.7500 0.4754
5 V 0.4129 0.7500 0.8775
6 V 0.4243 0.7500 0.2388
7 V 0.5757 0.2500 0.7612
8 V 0.5871 0.2500 0.1225
9 V 0.6588 0.2500 0.5246
10 V 0.8057 0.7500 0.0579
11 V 0.8869 0.7500 0.8481
12 V 0.9976 0.7500 0.6581
13 Ge 0.2299 0.2500 0.6426
14 Ge 0.7701 0.7500 0.3574
15 H 0.1112 0.7500 0.2963
16 H 0.3229 0.7500 0.0162
17 H 0.4075 0.2500 0.3727
18 H 0.5925 0.7500 0.6273
19 H 0.6771 0.2500 0.9838
20 H 0.8888 0.2500 0.7037

=====

2.
Material: V6Ge3H2
Method: DFT, PBE-GGA
State: optimized geometry

## Properties
* mass density: 6.4 g/cm³
* energy: -77.61 eV/cell
* size of the total moment: 0.0 μB per cell
* crystal system: tetragonal
* space-group type: I4/mmm (139)

Cell: 10.8835 10.8835 10.8835 Å, 161.08 161.08 26.89°
Positions (direct):
1 V 0.0905 0.5905 0.5000
2 V 0.2006 0.2006 0.0000
3 V 0.4095 0.9095 0.5000
4 V 0.5905 0.0905 0.5000
5 V 0.7994 0.7994 0.0000
6 V 0.9095 0.4095 0.5000
7 Ge 0.3198 0.3198 0.0000
8 Ge 0.5000 0.5000 0.0000
9 Ge 0.6802 0.6802 0.0000
10 H 0.0624 0.0624 0.0000
11 H 0.9376 0.9376 0.0000

=====

3.
Material: VGe2H
Method: DFT, PBE-GGA
State: optimized geometry

## Properties
* mass density: 5.9 g/cm³
* energy: -21.04 eV/cell
* size of the total moment: 0.0 μB per cell
* crystal system: trigonal
* space-group type: R-3m (166)

Cell: 7.8884 7.8884 7.8884 Å, 21.09 21.09 21.09°
Positions (direct):
1 V 0.0000 0.0000 0.0000
2 Ge 0.4211 0.4211 0.4211
3 Ge 0.5789 0.5789 0.5789
4 H 0.5000 0.5000 0.5000

=====

4.
Material: V8GeH6
Method: DFT, PBE-GGA
State: optimized geometry

## Properties
* mass density: 5.9 g/cm³
* energy: -100.15 eV/cell
* size of the total moment: 0.0 μB per cell
* crystal system: trigonal
* space-group type: R-3 (148)

Cell: 5.1705 5.1705 5.1705 Å, 95.22 95.22 95.22°
Positions (direct):
1 V 0.0497 0.4052 0.7163
2 V 0.1753 0.1753 0.1753
3 V 0.2837 0.9503 0.5948
4 V 0.4052 0.7164 0.0497
5 V 0.5948 0.2837 0.9503
6 V 0.7164 0.0497 0.4052
7 V 0.8247 0.8247 0.8247
8 V 0.9503 0.5948 0.2837
9 Ge 0.5000 0.5000 0.5000
10 H 0.0244 0.9304 0.3351
11 H 0.0696 0.6649 0.9756
12 H 0.3351 0.0244 0.9304
13 H 0.6649 0.9756 0.0696
14 H 0.9304 0.3351 0.0244
15 H 0.9756 0.0696 0.6649

=====

5.
Material: VGeH3
Method: DFT, PBE-GGA
State: optimized geometry

## Properties
* mass density: 4.3 g/cm³
* energy: -19.55 eV/cell
* size of the total moment: 3.3 μB per cell
* crystal system: cubic
* space-group type: Pm-3m (221)

Cell: 3.6525 3.6525 3.6525 Å, 90.00 90.00 90.00°
Positions (direct):
1 V 0.0000 0.0000 0.0000
2 Ge 0.5000 0.5000 0.5000
3 H 0.0000 0.5000 0.5000
4 H 0.5000 0.0000 0.5000
5 H 0.5000 0.5000 0.0000

=====

6.
Material: V3GeH3
Method: DFT, PBE-GGA
State: optimized geometry

## Properties
* mass density: 5.5 g/cm³
* energy: -84.45 eV/cell
* size of the total moment: 0.0 μB per cell
* crystal system: trigonal
* space-group type: R-3 (148)

Cell: 6.8010 6.8010 6.8010 Å, 43.78 43.78 43.78°
Positions (direct):
1 V 0.1037 0.4121 0.7884
2 V 0.2116 0.8963 0.5879
3 V 0.4121 0.7884 0.1037
4 V 0.5879 0.2116 0.8963
5 V 0.7884 0.1037 0.4121
6 V 0.8963 0.5879 0.2116
7 Ge 0.3330 0.3330 0.3330
8 Ge 0.6670 0.6670 0.6670
9 H 0.1325 0.7858 0.4827
10 H 0.2142 0.5173 0.8675
11 H 0.4827 0.1325 0.7858
12 H 0.5173 0.8675 0.2142
13 H 0.7858 0.4827 0.1325
14 H 0.8675 0.2142 0.5173

=====

7.
Material: V2Ge2H
Method: DFT, PBE-GGA
State: optimized geometry

## Properties
* mass density: 6.5 g/cm³
* energy: -62.88 eV/cell
* size of the total moment: 0.0 μB per cell
* crystal system: orthorhombic
* space-group type: Cmc2_1 (36)

Cell: 6.4556 6.4556 6.5380 Å, 90.00 90.00 152.16°
Positions (direct):
1 V 0.0453 0.9547 0.5000
2 V 0.3743 0.6257 0.3160
3 V 0.6257 0.3743 0.8160
4 V 0.9547 0.0453 0.0000
5 Ge 0.2710 0.7290 0.9854
6 Ge 0.4141 0.5859 0.6879
7 Ge 0.5859 0.4141 0.1879
8 Ge 0.7290 0.2710 0.4854
9 H 0.0620 0.9380 0.7843
10 H 0.9380 0.0620 0.2843

=====

8.
Material: VGe3H
Method: DFT, PBE-GGA
State: optimized geometry

## Properties
* mass density: 4.2 g/cm³
* energy: -23.17 eV/cell
* size of the total moment: 1.2 μB per cell
* crystal system: cubic
* space-group type: Pm-3m (221)

Cell: 4.7301 4.7301 4.7301 Å, 90.00 90.00 90.00°
Positions (direct):
1 V 0.0000 0.0000 0.0000
2 Ge 0.0000 0.0000 0.5000
3 Ge 0.0000 0.5000 0.0000
4 Ge 0.5000 0.0000 0.0000
5 H 0.5000 0.5000 0.5000

=====

What are the density of states at the Fermi level values for these records? In order: 12.0 7.2 2.4 3.6 4.8 11.7 8.2 2.2 states/eV per cell.